## w
# K2FeRh | Alexandria | GGA-PBE | optimized geometry
data_K2FeRh
_chemical_formula_sum 'K2 Fe1 Rh1'
_cell_length_a 2.914
_cell_length_b 5.425
_cell_length_c 5.711
_cell_angle_alpha 90.00
_cell_angle_beta 98.74
_cell_angle_gamma 90.00
_space_group_name_H-M_alt 'P 1 2/m 1'
_space_group_IT_number 10
_space_group_name_Hall '-P 2y'
loop_
_atom_site_label
_atom_site_type_symbol
_atom_site_fract_x
_atom_site_fract_y
_atom_site_fract_z
_atom_site_occupancy
K1 K 0.024 0.000 0.254 1
Fe1 Fe 0.500 0.500 0.000 1
Rh1 Rh 0.500 0.500 0.500 1
# calculated volume: 22.31 A^3/atom
# total moment: 3.46 Bohr magnetons per cell

## x
# K2FeRh | Alexandria | GGA-PBE | optimized geometry
data_K2FeRh
_chemical_formula_sum 'K4 Fe2 Rh2'
_cell_length_a 20.202
_cell_length_b 3.311
_cell_length_c 3.754
_cell_angle_alpha 90.00
_cell_angle_beta 100.65
_cell_angle_gamma 90.00
_space_group_name_H-M_alt 'C 1 2/m 1'
_space_group_IT_number 12
_space_group_name_Hall '-C 2y'
loop_
_atom_site_label
_atom_site_type_symbol
_atom_site_fract_x
_atom_site_fract_y
_atom_site_fract_z
_atom_site_occupancy
K1 K 0.145 0.000 0.146 1
Fe1 Fe 0.000 0.000 0.500 1
Rh1 Rh 0.000 0.500 0.000 1
# calculated volume: 30.84 A^3/atom
# total moment: 7.76 Bohr magnetons per cell

## y
# K2FeRh | Alexandria | GGA-PBE | optimized geometry
data_K2FeRh
_chemical_formula_sum 'K2 Fe1 Rh1'
_cell_length_a 4.073
_cell_length_b 4.073
_cell_length_c 5.394
_cell_angle_alpha 90.00
_cell_angle_beta 90.00
_cell_angle_gamma 90.00
_space_group_name_H-M_alt 'P 4/m m m'
_space_group_IT_number 123
_space_group_name_Hall '-P 4 2'
loop_
_atom_site_label
_atom_site_type_symbol
_atom_site_fract_x
_atom_site_fract_y
_atom_site_fract_z
_atom_site_occupancy
K1 K 0.000 0.500 0.000 1
Fe1 Fe 0.000 0.000 0.500 1
Rh1 Rh 0.500 0.500 0.500 1
# calculated volume: 22.37 A^3/atom
# total moment: 3.56 Bohr magnetons per cell

## z
# K2FeRh | Alexandria | GGA-PBE | optimized geometry
data_K2FeRh
_chemical_formula_sum 'K4 Fe2 Rh2'
_cell_length_a 3.754
_cell_length_b 5.738
_cell_length_c 11.098
_cell_angle_alpha 90.00
_cell_angle_beta 90.00
_cell_angle_gamma 90.00
_space_group_name_H-M_alt 'I m m 2'
_space_group_IT_number 44
_space_group_name_Hall 'I 2 -2'
loop_
_atom_site_label
_atom_site_type_symbol
_atom_site_fract_x
_atom_site_fract_y
_atom_site_fract_z
_atom_site_occupancy
K1 K 0.000 0.000 0.000 1
K2 K 0.000 0.500 0.203 1
Fe1 Fe 0.000 0.000 0.404 1
Rh1 Rh 0.000 0.500 0.780 1
# calculated volume: 29.88 A^3/atom
# total moment: 7.90 Bohr magnetons per cell

Most stable to least stable, the ends of the list are x and w.